DFT (PBE) results for a relaxed structure of BaNdTeO6.

Summary:
ΔE_f (raw), eV per atom: -1.99

a b c (Å): 5.8760 5.8760 5.5375
angles (deg): 90.00 90.00 120.00
Space group P312 (No. 149)
Asymmetric unit:
1 Ba 0.0000 0.0000 0.0000 x1
2 Nd 0.3333 0.6667 0.5000 x1
3 Te 0.6667 0.3333 0.5000 x1
4 O 0.4002 0.0526 0.7004 x6